# 1
This record from the Open Quantum Materials Database describes a relaxed structure of TcPt2. The functional is PBE-GGA.

energy of formation from the pure elements	417	meV/atom
energy above the lowest structure with this stoichiometry	0	meV/atom

Cell and atoms, written as POSCAR:
```
TcPt2
1.0
0.3623 -0.8018 5.0665
-3.9227 1.2377 3.0860
-2.7902 -3.7035 2.2231
Pt Tc
4 2
Cartesian
-4.1503 -1.6413 3.9515
-3.9692 -2.0422 6.4848
-2.0078 -2.6611 4.9417
-2.5741 -0.1905 5.3732
-1.5877 -0.8169 2.5939
0.0000 0.0000 0.0000
```

---

# 2
This record from the Open Quantum Materials Database describes a relaxed structure of TcPt. The functional is PBE-GGA.

energy of formation from the pure elements	469	meV/atom
energy above the lowest structure with this stoichiometry	531	meV/atom

Cell and atoms, written as POSCAR:
```
TcPt
1.0
-0.4758 -4.0107 0.2964
2.4098 1.9512 2.6049
-3.8149 0.6760 3.0228
Pt Tc
2 2
Cartesian
-2.3751 -1.5164 3.3330
0.4942 0.1329 2.5911
-1.9074 0.3380 1.5114
0.0000 0.0000 0.0000
```

---

# 3
This record from the Open Quantum Materials Database describes a relaxed structure of Tc2Pt. The functional is PBE-GGA.

energy of formation from the pure elements	3024	meV/atom
energy above the lowest structure with this stoichiometry	2723	meV/atom

Cell and atoms, written as POSCAR:
```
Tc2Pt
1.0
4.9856 -6.2128 1.5155
5.9720 -1.7661 -5.1931
7.7150 1.4030 2.0643
Tc Pt
4 2
Cartesian
2.4928 -3.1064 0.7578
3.8575 0.7015 1.0322
2.9860 -0.8830 -2.5965
0.0000 0.0000 0.0000
16.3385 -5.7538 -1.4116
2.3341 -0.8220 -0.2017
```

---

# 4
This record from the Open Quantum Materials Database describes a relaxed structure of TmTcPt. The functional is PBE-GGA.

energy of formation from the pure elements	495	meV/atom
energy above the lowest structure with this stoichiometry	515	meV/atom

Cell and atoms, written as POSCAR:
```
TmTcPt
1.0
0.0000 3.1791 3.1791
3.1791 0.0000 3.1791
3.1791 3.1791 0.0000
Pt Tc Tm
1 1 1
Cartesian
1.5896 1.5896 1.5896
4.7687 4.7687 4.7687
0.0000 0.0000 0.0000
```

---

# 5
This record from the Open Quantum Materials Database describes a relaxed structure of TmTcPt. The functional is PBE-GGA.

energy of formation from the pure elements	-19	meV/atom
energy above the lowest structure with this stoichiometry	0	meV/atom

Cell and atoms, written as POSCAR:
```
TmTcPt
1.0
0.0000 3.1934 3.1934
3.1934 0.0000 3.1934
3.1934 3.1934 0.0000
Tm Tc Pt
1 1 1
Cartesian
4.7901 4.7901 4.7901
1.5967 1.5967 1.5967
0.0000 0.0000 0.0000
```

---

# 6
This record from the Open Quantum Materials Database describes a relaxed structure of UTcPt. The functional is PBE-GGA.

energy of formation from the pure elements	185	meV/atom
energy above the lowest structure with this stoichiometry	0	meV/atom

Cell and atoms, written as POSCAR:
```
UTcPt
1.0
0.0000 3.1662 3.1662
3.1662 0.0000 3.1662
3.1662 3.1662 0.0000
Pt U Tc
1 1 1
Cartesian
0.0000 0.0000 0.0000
1.5831 1.5831 1.5831
3.1662 3.1662 3.1662
```

---

# 7
This record from the Open Quantum Materials Database describes a relaxed structure of UTcPt. The functional is PBE-GGA.

energy of formation from the pure elements	279	meV/atom
energy above the lowest structure with this stoichiometry	93	meV/atom

Cell and atoms, written as POSCAR:
```
UTcPt
1.0
0.0000 3.1710 3.1710
3.1710 0.0000 3.1710
3.1710 3.1710 0.0000
Tc U Pt
1 1 1
Cartesian
1.5855 1.5855 1.5855
4.7565 4.7565 4.7565
0.0000 0.0000 0.0000
```

---

# 8
This record from the Open Quantum Materials Database describes a relaxed structure of UTc2Pt. The functional is PBE-GGA.

energy of formation from the pure elements	-381	meV/atom

Cell and atoms, written as POSCAR:
```
UTc2Pt
1.0
4.1574 0.0000 0.0000
0.0000 4.1574 0.0000
0.0000 0.0000 3.8529
Tc Pt U
2 1 1
Cartesian
2.0787 0.0000 0.0000
0.0000 2.0787 0.0000
0.0000 0.0000 1.9264
2.0787 2.0787 1.9264
```

---

# 9
This record from the Open Quantum Materials Database describes a relaxed structure of YTc2Pt. The functional is PBE-GGA.

energy of formation from the pure elements	2	meV/atom

Cell and atoms, written as POSCAR:
```
YTc2Pt
1.0
-1.3291 -4.1496 1.5189
-1.0830 -0.5912 4.4464
-4.3904 -0.7089 1.2308
Pt Y Tc
1 1 2
Cartesian
-3.4012 -2.7249 3.5981
-5.1019 -4.0873 5.3971
-1.7006 -1.3624 1.7990
0.0000 0.0000 0.0000
```

---

# 10
This record from the Open Quantum Materials Database describes a relaxed structure of ZnTcPt2. The functional is PBE-GGA.

energy of formation from the pure elements	-15	meV/atom

Cell and atoms, written as POSCAR:
```
ZnTcPt2
1.0
0.0000 3.1111 3.1111
3.1111 0.0000 3.1111
3.1111 3.1111 0.0000
Pt Zn Tc
2 1 1
Cartesian
4.6666 4.6666 4.6666
3.1111 3.1111 3.1111
0.0000 0.0000 0.0000
1.5555 1.5555 1.5555
```

---

# 11
This record from the Open Quantum Materials Database describes a relaxed structure of ZnTcPt. The functional is PBE-GGA.

energy of formation from the pure elements	206	meV/atom
energy above the lowest structure with this stoichiometry	0	meV/atom

Cell and atoms, written as POSCAR:
```
ZnTcPt
1.0
0.0000 2.9675 2.9675
2.9675 0.0000 2.9675
2.9675 2.9675 0.0000
Tc Pt Zn
1 1 1
Cartesian
1.4837 1.4837 1.4837
0.0000 0.0000 0.0000
4.4512 4.4512 4.4512
```

---

# 12
This record from the Open Quantum Materials Database describes a relaxed structure of ZnTc2Pt. The functional is PBE-GGA.

energy of formation from the pure elements	76	meV/atom

Cell and atoms, written as POSCAR:
```
ZnTc2Pt
1.0
0.0000 3.1004 3.1004
3.1004 0.0000 3.1004
3.1004 3.1004 0.0000
Tc Zn Pt
2 1 1
Cartesian
4.6507 4.6507 4.6507
0.0000 0.0000 0.0000
1.5502 1.5502 1.5502
3.1005 3.1005 3.1005
```

---

# 13
This record from the Open Quantum Materials Database describes a relaxed structure of ZrTc2Pt. The functional is PBE-GGA.

energy of formation from the pure elements	-134	meV/atom

Cell and atoms, written as POSCAR:
```
ZrTc2Pt
1.0
0.9970 -3.8299 2.2186
1.0131 0.1370 4.4203
-2.9111 -1.6797 3.0476
Tc Pt Zr
2 1 1
Cartesian
-0.6758 -4.0294 7.2649
0.0000 0.0000 0.0000
-0.4505 -2.6863 4.8433
-0.2253 -1.3431 2.4216
```

---

# 14
This record from the Open Quantum Materials Database describes a relaxed structure of ZrTcPt2. The functional is PBE-GGA.

energy of formation from the pure elements	-312	meV/atom

Cell and atoms, written as POSCAR:
```
ZrTcPt2
1.0
0.0000 3.2170 3.2170
3.2170 0.0000 3.2170
3.2170 3.2170 0.0000
Pt Zr Tc
2 1 1
Cartesian
1.6085 1.6085 1.6085
0.0000 0.0000 0.0000
3.2170 3.2170 3.2170
4.8256 4.8256 4.8256
```

---

# 15
This record from the Open Quantum Materials Database describes a relaxed structure of Zr3Tc2Pt. The functional is PBE-GGA.

energy of formation from the pure elements	-647	meV/atom

Cell and atoms, written as POSCAR:
```
Zr3Tc2Pt
1.0
3.3281 0.0000 0.0000
0.0000 3.3281 0.0000
0.0000 0.0000 9.8033
Tc Zr Pt
2 3 1
Cartesian
0.0000 0.0000 1.6708
0.0000 0.0000 8.1325
1.6640 1.6640 3.1952
1.6640 1.6640 0.0000
1.6640 1.6640 6.6081
0.0000 0.0000 4.9017
```

---

# 16
This record from the Open Quantum Materials Database describes a relaxed structure of TePt2. The functional is PBE-GGA.

energy above the lowest structure with this stoichiometry	908	meV/atom

Cell and atoms, written as POSCAR:
```
TePt2
1.0
4.0584 2.3431 6.6273
-4.0584 2.3431 6.6273
0.0000 -4.6862 6.6273
Pt Te
4 2
Cartesian
0.0000 -2.3431 10.7693
-2.0292 1.1715 10.7693
2.0292 1.1715 10.7693
0.0000 0.0000 7.4557
0.0000 0.0000 4.9704
0.0000 0.0000 9.9409
```

---

# 17
This record from the Open Quantum Materials Database describes a relaxed structure of TePt17. The functional is PBE-GGA.

energy above the lowest structure with this stoichiometry	30	meV/atom

Cell and atoms, written as POSCAR:
```
TePt17
1.0
-3.6624 -0.1153 3.0181
3.5098 -0.3944 4.2440
1.0337 30.8211 2.0093
Pt Te
34 2
Cartesian
0.6685 22.1613 5.1138
1.7989 10.4315 4.8691
3.3612 22.1368 4.6648
3.5504 19.6686 6.0711
-0.5122 15.0043 7.2054
0.4009 5.6998 5.5856
-1.5270 8.3457 2.0540
-0.7265 8.0068 6.7323
2.4082 21.9658 7.2173
-1.3143 15.3529 2.5137
0.2126 8.1502 4.1576
0.8484 19.7012 6.5166
1.9944 17.4090 5.3558
1.2855 24.2688 8.3746
0.4802 24.6117 3.6858
-0.9178 19.8800 4.4022
0.2440 17.6049 3.2300
-0.4686 24.4659 6.2535
-1.1133 12.9025 3.9155
-0.9180 10.4461 5.3178
1.6076 22.3047 2.5391
-0.4044 6.0427 0.8968
0.6371 12.7066 6.0413
0.4406 15.1557 4.6357
-0.1591 13.0606 1.3462
1.3497 5.8456 3.0178
0.0327 10.6102 2.7547
1.3934 15.3071 2.0660
1.5949 12.8635 3.4671
1.7991 19.8654 3.9535
1.0402 17.2509 7.9252
-2.4801 8.1747 4.6065
-2.6693 10.6429 3.2002
-0.7138 17.4479 5.8042
2.2485 25.3187 5.8807
-1.3674 4.9928 3.3906
```

---

# 18
This record from the Open Quantum Materials Database describes a relaxed structure of Te2Pt. The functional is PBE-GGA.

E_tot	-18.18	eV per cell

Cell and atoms, written as POSCAR:
```
Te2Pt
1.0
-5.7689 -1.6181 -0.5169
-4.1297 4.0631 -1.6131
-2.5611 -0.3093 -5.4324
Te Pt
4 2
Cartesian
-6.5067 1.4895 -2.0103
-5.7224 -0.6967 -3.9199
-7.7873 1.3348 -4.7265
-4.9028 2.1439 -4.4680
0.0000 0.0000 0.0000
-3.1149 0.5339 -1.8906
```

---

# 19
This record from the Open Quantum Materials Database describes a relaxed structure of Te2Pt. The functional is PBE-GGA.

E_tot	-12.68	eV per cell

Cell and atoms, written as POSCAR:
```
Te2Pt
1.0
1.8990 1.0964 6.2747
-1.8990 1.0964 6.2747
0.0000 -2.1928 6.2747
Te Pt
2 1
Cartesian
0.0000 0.0000 10.9110
0.0000 0.0000 14.1506
0.0000 0.0000 0.0000
```

---

# 20
This record from the Open Quantum Materials Database describes a relaxed structure of Te2Pt. The functional is PBE-GGA.

E_tot	-21.40	eV per cell

Cell and atoms, written as POSCAR:
```
Te2Pt
1.0
-0.2051 -0.2565 8.3997
0.7224 7.1007 4.4408
-6.6449 3.0641 4.1376
Te Pt
4 2
Cartesian
-2.4004 3.5874 10.5666
-1.9366 7.2660 8.5871
-2.2978 3.7156 6.3668
-5.6203 5.2477 8.4356
-1.5319 2.4771 4.2445
-3.0638 4.9542 8.4890
```